VASP calculation (PBE-GGA) on an optimized crystal structure of Re2AgAu.

Computed properties:
ΔE to the lowest computed polymorph ... 116.0 meV/atom

Cell lengths 2.9170, 2.9170, 7.9004 Å; angles 90.00, 90.00, 90.00 degrees
Space group P4mm (No. 99)
Unique sites:
Re1 0.0000 0.0000 0.0000 [1 per cell]
Re2 0.5000 0.5000 0.1925 [1 per cell]
Ag1 0.0000 0.0000 0.4661 [1 per cell]
Au1 0.5000 0.5000 0.7295 [1 per cell]